#i
An optimized crystal structure of GaPd3S. Source: Alexandria, functional PBE.

a b c (Å): 6.800 7.060 7.060
angles (deg): 75.09 89.83 89.83
Element x y z (fractional)
Ga 0.250 0.961 0.039
Ga 0.750 0.039 0.961
Ga 0.250 0.360 0.640
Ga 0.750 0.640 0.360
Pd 0.542 0.713 0.036
Pd 0.958 0.964 0.287
Pd 0.458 0.287 0.964
Pd 0.042 0.036 0.713
Pd 0.042 0.290 0.964
Pd 0.458 0.036 0.710
Pd 0.958 0.710 0.036
Pd 0.542 0.964 0.290
Pd 0.499 0.638 0.639
Pd 0.001 0.361 0.362
Pd 0.501 0.362 0.361
Pd 0.999 0.639 0.638
S 0.749 0.508 0.873
S 0.751 0.127 0.492
S 0.251 0.492 0.127
S 0.249 0.873 0.508

Computed properties:
The density of states at the Fermi level comes out at 2.6 states/eV/f.u. The total magnetization comes out at 0.0 μB/f.u. The space group is C2/c, No. 15.

#ii
An optimized crystal structure of GaPd3S. Source: Alexandria, functional PBE.

a b c (Å): 4.632 4.632 4.632
angles (deg): 90.00 90.00 90.00
Element x y z (fractional)
S 0.500 0.500 0.500
Ga 0.000 0.000 0.000
Pd 0.000 0.500 0.000
Pd 0.000 0.000 0.500
Pd 0.500 0.000 0.000

Computed properties:
The density of states at the Fermi level comes out at 3.7 states/eV/f.u. The total magnetization comes out at 0.0 μB/f.u. The space group is Pm-3m, No. 221.

The data favor #i; the next most stable structure lies 0.843 eV/atom above it.

#i
An optimized crystal structure of GaSb2Pd2. Source: Alexandria, functional PBE.

a b c (Å): 4.407 4.407 6.745
angles (deg): 70.93 70.93 90.00
Element x y z (fractional)
Sb 0.375 0.375 0.250
Sb 0.625 0.625 0.750
Ga 0.000 0.000 0.000
Pd 0.750 0.250 0.500
Pd 0.250 0.750 0.500

Computed properties:
The density of states at the Fermi level comes out at 2.2 states/eV/f.u. The total magnetization comes out at 0.0 μB/f.u. The space group is I4/mmm, No. 139.

#ii
An optimized crystal structure of GaSb2Pd2. Source: Alexandria, functional PBE.

a b c (Å): 4.871 4.871 6.050
angles (deg): 66.27 66.27 90.00
Element x y z (fractional)
Sb 0.750 0.250 0.500
Sb 0.250 0.750 0.500
Ga 0.000 0.000 0.000
Pd 0.366 0.366 0.268
Pd 0.634 0.634 0.732

Computed properties:
The density of states at the Fermi level comes out at 2.3 states/eV/f.u. The total magnetization comes out at 0.0 μB/f.u. The space group is I4/mmm, No. 139.

#iii
An optimized crystal structure of GaSb2Pd2. Source: Alexandria, functional PBE.

a b c (Å): 7.992 7.992 3.238
angles (deg): 90.00 90.00 90.00
Element x y z (fractional)
Sb 0.161 0.661 0.500
Sb 0.661 0.839 0.500
Sb 0.839 0.339 0.500
Sb 0.339 0.161 0.500
Ga 0.000 0.000 0.000
Ga 0.500 0.500 0.000
Pd 0.369 0.869 0.000
Pd 0.869 0.631 0.000
Pd 0.631 0.131 0.000
Pd 0.131 0.369 0.000

Computed properties:
The density of states at the Fermi level comes out at 3.7 states/eV/f.u. The total magnetization comes out at 0.0 μB/f.u. The space group is P4/mbm, No. 127.

The data favor #iii; the next most stable structure lies 0.016 eV/atom above it.

#i
An optimized crystal structure of GaSbPd. Source: Alexandria, functional PBE.

a b c (Å): 4.469 4.469 4.469
angles (deg): 60.00 60.00 60.00
Element x y z (fractional)
Sb 0.000 0.000 0.000
Ga 0.500 0.500 0.500
Pd 0.250 0.250 0.250

Computed properties:
The density of states at the Fermi level comes out at 1.3 states/eV/f.u. The total magnetization comes out at 0.0 μB/f.u. The space group is F-43m, No. 216.

#ii
An optimized crystal structure of GaSbPd. Source: Alexandria, functional PBE.

a b c (Å): 4.430 4.430 6.498
angles (deg): 90.05 90.05 90.01
Element x y z (fractional)
Sb 0.500 0.000 0.250
Sb 0.500 0.000 0.750
Pd 0.000 0.000 0.000
Pd 0.500 0.500 0.500
Ga 0.000 0.500 0.250
Ga 0.000 0.500 0.750

Computed properties:
The density of states at the Fermi level comes out at 0.9 states/eV/f.u. The total magnetization comes out at 0.0 μB/f.u. The space group is C2/c, No. 15.

The data favor #i; the next most stable structure lies 0.006 eV/atom above it.

#i
An optimized crystal structure of GaSb2Pd8. Source: Alexandria, functional PBE.

a b c (Å): 4.295 6.531 7.467
angles (deg): 112.35 106.72 90.00
Element x y z (fractional)
Ga 0.500 0.000 0.000
Sb 0.822 0.331 0.645
Sb 0.178 0.669 0.355
Pd 0.411 0.565 0.822
Pd 0.669 0.937 0.337
Pd 0.816 0.736 0.632
Pd 0.973 0.193 0.945
Pd 0.184 0.264 0.368
Pd 0.331 0.063 0.663
Pd 0.589 0.435 0.178
Pd 0.027 0.807 0.055

Computed properties:
The density of states at the Fermi level comes out at 4.9 states/eV/f.u. The total magnetization comes out at 0.0 μB/f.u. The space group is C2/m, No. 12.

#ii
An optimized crystal structure of GaSb2Pd8. Source: Alexandria, functional PBE.

a b c (Å): 4.113 7.547 7.342
angles (deg): 120.93 106.27 90.00
Element x y z (fractional)
Sb 0.185 0.685 0.370
Sb 0.815 0.315 0.630
Pd 0.662 0.895 0.324
Pd 0.338 0.572 0.676
Pd 0.134 0.134 0.268
Pd 0.000 0.303 0.000
Pd 0.866 0.866 0.732
Pd 0.662 0.428 0.324
Pd 0.338 0.105 0.676
Pd 0.000 0.697 0.000
Ga 0.500 0.000 0.000

Computed properties:
The density of states at the Fermi level comes out at 2.1 states/eV/f.u. The total magnetization comes out at 0.0 μB/f.u. The space group is Immm, No. 71.

The data favor #ii; the next most stable structure lies 0.009 eV/atom above it.

#i
An optimized crystal structure of GaSbPd6. Source: Alexandria, functional PBE.

a b c (Å): 3.993 3.993 7.950
angles (deg): 90.00 90.00 90.00
Element x y z (fractional)
Ga 0.000 0.000 0.500
Sb 0.000 0.000 0.000
Pd 0.500 0.500 0.000
Pd 0.500 0.500 0.500
Pd 0.500 0.000 0.257
Pd 0.500 0.000 0.743
Pd 0.000 0.500 0.257
Pd 0.000 0.500 0.743

Computed properties:
The density of states at the Fermi level comes out at 2.9 states/eV/f.u. The total magnetization comes out at 0.0 μB/f.u. The space group is P4/mmm, No. 123.

#ii
An optimized crystal structure of GaSbPd6. Source: Alexandria, functional PBE.

a b c (Å): 6.458 6.499 5.261
angles (deg): 51.55 52.10 59.97
Element x y z (fractional)
Ga 0.500 0.500 0.500
Sb 0.000 0.000 0.000
Pd 0.018 0.504 0.735
Pd 0.744 0.015 0.737
Pd 0.497 0.257 0.267
Pd 0.256 0.985 0.263
Pd 0.982 0.496 0.265
Pd 0.503 0.743 0.733

Computed properties:
The density of states at the Fermi level comes out at 4.7 states/eV/f.u. The total magnetization comes out at 0.0 μB/f.u. The space group is P-1, No. 2.

The data favor #i; the next most stable structure lies 0.162 eV/atom above it.

#i
An optimized crystal structure of GaSbPd2. Source: Alexandria, functional PBE.

a b c (Å): 6.159 6.622 7.173
angles (deg): 90.00 89.91 90.00
Element x y z (fractional)
Ga 0.690 0.061 0.617
Ga 0.190 0.439 0.617
Ga 0.310 0.939 0.383
Ga 0.810 0.561 0.383
Sb 0.198 0.415 0.131
Sb 0.302 0.915 0.869
Sb 0.698 0.085 0.131
Sb 0.802 0.585 0.869
Pd 0.510 0.699 0.152
Pd 0.010 0.801 0.152
Pd 0.996 0.192 0.397
Pd 0.990 0.199 0.848
Pd 0.004 0.808 0.603
Pd 0.504 0.692 0.603
Pd 0.490 0.301 0.848
Pd 0.496 0.308 0.397

Computed properties:
The density of states at the Fermi level comes out at 1.3 states/eV/f.u. The total magnetization comes out at 0.0 μB/f.u. The space group is P2_1/c, No. 14.

#ii
An optimized crystal structure of GaSbPd2. Source: Alexandria, functional PBE.

a b c (Å): 3.196 3.196 6.842
angles (deg): 90.00 90.00 90.00
Element x y z (fractional)
Sb 0.500 0.500 0.500
Ga 0.500 0.500 0.000
Pd 0.000 0.000 0.792
Pd 0.000 0.000 0.208

Computed properties:
The density of states at the Fermi level comes out at 1.3 states/eV/f.u. The total magnetization comes out at 0.0 μB/f.u. The space group is P4/mmm, No. 123.

#iii
An optimized crystal structure of GaSbPd2. Source: Alexandria, functional PBE.

a b c (Å): 4.224 4.224 9.170
angles (deg): 76.68 76.68 90.00
Element x y z (fractional)
Sb 0.000 0.000 0.000
Sb 0.750 0.250 0.500
Ga 0.500 0.500 0.000
Ga 0.250 0.750 0.500
Pd 0.616 0.125 0.250
Pd 0.134 0.625 0.250
Pd 0.375 0.384 0.750
Pd 0.875 0.866 0.750

Computed properties:
The density of states at the Fermi level comes out at 1.6 states/eV/f.u. The total magnetization comes out at 0.0 μB/f.u. The space group is I-42d, No. 122.

#iv
An optimized crystal structure of GaSbPd2. Source: Alexandria, functional PBE.

a b c (Å): 3.536 3.536 7.252
angles (deg): 75.89 75.89 60.00
Element x y z (fractional)
Ga 0.500 0.500 0.501
Sb 0.667 0.667 0.999
Pd 0.094 0.094 0.717
Pd 0.239 0.239 0.283

Computed properties:
The density of states at the Fermi level comes out at 1.4 states/eV/f.u. The total magnetization comes out at 0.0 μB/f.u. The space group is R3m, No. 160.

The data favor #i; the next most stable structure lies 0.107 eV/atom above it.

#i
An optimized crystal structure of GaSbPd3. Source: Alexandria, functional PBE.

a b c (Å): 4.659 4.659 4.659
angles (deg): 90.00 90.00 90.00
Element x y z (fractional)
Sb 0.500 0.500 0.500
Ga 0.000 0.000 0.000
Pd 0.000 0.500 0.000
Pd 0.000 0.000 0.500
Pd 0.500 0.000 0.000

Computed properties:
The density of states at the Fermi level comes out at 2.2 states/eV/f.u. The total magnetization comes out at 0.0 μB/f.u. The space group is Pm-3m, No. 221.

#ii
An optimized crystal structure of GaSbPd3. Source: Alexandria, functional PBE.

a b c (Å): 4.979 4.979 4.979
angles (deg): 90.00 90.00 90.00
Element x y z (fractional)
Sb 0.000 0.000 0.000
Ga 0.500 0.500 0.500
Pd 0.000 0.500 0.000
Pd 0.000 0.000 0.500
Pd 0.500 0.000 0.000

Computed properties:
The density of states at the Fermi level comes out at 2.9 states/eV/f.u. The total magnetization comes out at 0.0 μB/f.u. The space group is Pm-3m, No. 221.

#iii
An optimized crystal structure of GaSbPd3. Source: Alexandria, functional PBE.

a b c (Å): 3.855 7.762 6.393
angles (deg): 69.82 90.00 90.00
Element x y z (fractional)
Ga 0.250 0.861 0.159
Ga 0.750 0.139 0.841
Sb 0.250 0.291 0.319
Sb 0.750 0.709 0.681
Pd 0.750 0.611 0.324
Pd 0.250 0.389 0.676
Pd 0.750 0.369 0.025
Pd 0.250 0.998 0.693
Pd 0.250 0.631 0.975
Pd 0.750 0.002 0.307

Computed properties:
The density of states at the Fermi level comes out at 2.0 states/eV/f.u. The total magnetization comes out at 0.0 μB/f.u. The space group is P2_1/m, No. 11.

The data favor #iii; the next most stable structure lies 0.510 eV/atom above it.

#i
An optimized crystal structure of Ga2SbPd2. Source: Alexandria, functional PBE.

a b c (Å): 3.788 3.788 6.888
angles (deg): 74.04 74.04 90.00
Element x y z (fractional)
Sb 0.000 0.000 0.000
Ga 0.750 0.250 0.500
Ga 0.250 0.750 0.500
Pd 0.389 0.389 0.223
Pd 0.611 0.611 0.777

Computed properties:
The density of states at the Fermi level comes out at 2.3 states/eV/f.u. The total magnetization comes out at 0.0 μB/f.u. The space group is I4/mmm, No. 139.

#ii
An optimized crystal structure of Ga2SbPd2. Source: Alexandria, functional PBE.

a b c (Å): 7.646 7.646 3.005
angles (deg): 90.00 90.00 90.00
Element x y z (fractional)
Sb 0.000 0.000 0.000
Sb 0.500 0.500 0.000
Ga 0.146 0.646 0.500
Ga 0.646 0.854 0.500
Ga 0.854 0.354 0.500
Ga 0.354 0.146 0.500
Pd 0.352 0.852 0.000
Pd 0.852 0.648 0.000
Pd 0.648 0.148 0.000
Pd 0.148 0.352 0.000

Computed properties:
The density of states at the Fermi level comes out at 2.2 states/eV/f.u. The total magnetization comes out at 0.0 μB/f.u. The space group is P4/mbm, No. 127.

The data favor #ii; the next most stable structure lies 0.013 eV/atom above it.